Compound: BaNa2CaI6
Source: Alexandria via LeMat-Bulk
Functional: PBE
Structure: relaxed

a b c (Å): 9.115 9.115 6.700
angles (deg): 90.00 90.00 90.00
Sites, in units of the cell vectors:
Ba 0.000 0.000 0.000
Na 0.000 0.500 0.204
Na 0.500 0.000 0.204
Ca 0.500 0.500 0.011
I 0.000 0.000 0.510
I 0.261 0.261 0.100
I 0.261 0.739 0.100
I 0.500 0.500 0.563
I 0.739 0.261 0.100
I 0.739 0.739 0.100

Summary:
calculated total energy: -2.973 eV per atom
DOS(E_F): 0.0 states/eV/cell
uncorrected formation energy: -1.39 eV per atom
V: 556.7 Å³/cell